# PBE LaTlPt2, optimized geometry
# * spin magnetization: 0.000 μB per formula unit
# * uncorrected energy: -0.195 Ha/atom
data_LaTlPt2
_chemical_formula_sum 'La4 Tl4 Pt8'
_cell_length_a 7.052
_cell_length_b 7.052
_cell_length_c 7.052
_cell_angle_alpha 90.00
_cell_angle_beta 90.00
_cell_angle_gamma 90.00
_symmetry_space_group_name_H-M 'F -4 3 m'
_symmetry_Int_Tables_number 216
_symmetry_space_group_name_Hall 'F -4 2 3'
loop_
_atom_site_label
_atom_site_type_symbol
_atom_site_fract_x
_atom_site_fract_y
_atom_site_fract_z
_atom_site_occupancy
La1 La 0.000 0.000 0.000 1
Tl1 Tl 0.250 0.250 0.750 1
Pt1 Pt 0.000 0.000 0.500 1
Pt2 Pt 0.250 0.250 0.250 1